The following is a GGA-PBE calculation of a geometry-optimized TbNd10Sc4 structure, from the Alexandria database.

abc: 8.1671 8.9647 8.9647
angles: 78.02 62.90 62.90
Fractional positions:
Sc: 0.7097 0.7235 0.8571
Sc: 0.2903 0.2765 0.1429
Sc: 0.5668 0.1429 0.7235
Sc: 0.4332 0.8571 0.2765
Tb: 0.0000 0.0000 0.0000
Nd: 0.5724 0.1166 0.3453
Nd: 0.2500 0.5000 0.5000
Nd: 0.9177 0.6547 0.1166
Nd: 0.9657 0.1166 0.3453
Nd: 0.4276 0.8834 0.6547
Nd: 0.3110 0.6547 0.1166
Nd: 0.7500 0.5000 0.5000
Nd: 0.6890 0.3453 0.8834
Nd: 0.0823 0.3453 0.8834
Nd: 0.0343 0.8834 0.6547

## Properties
The density of states at the Fermi level is 15.28 states/eV/f.u. Its formation energy is 0.5236 eV per atom. As for the space group: I4/m (87). The calculation puts the total magnetization at 0.000 μB per formula unit. The volume is 520.17 Å³ per cell.

***

The following is a GGA-PBE calculation of a geometry-optimized Tb5Nd6Sc structure, from the Alexandria database.

abc: 11.8136 6.2514 6.2509
angles: 60.00 84.95 79.86
Fractional positions:
Nd: 0.7527 0.0832 0.3303
Nd: 0.2475 0.2472 0.0000
Nd: 0.7525 0.7528 0.0000
Nd: 0.2473 0.5866 0.3303
Nd: 0.7527 0.4134 0.6697
Nd: 0.2473 0.9168 0.6697
Tb: 0.5000 0.5000 0.0000
Tb: 0.0000 0.3332 0.3336
Tb: 0.5000 0.1665 0.6669
Tb: 0.0000 0.6668 0.6664
Tb: 0.5000 0.8335 0.3331
Sc: 0.0000 0.0000 0.0000

## Properties
The density of states at the Fermi level is 14.14 states/eV/f.u. Its formation energy is 0.0228 eV per atom. As for the space group: C2/m (12). The calculation puts the total magnetization at 0.000 μB per formula unit. The volume is 393.54 Å³ per cell.

***

The following is a GGA-PBE calculation of a geometry-optimized Tb5Nd2Sc2 structure, from the Alexandria database.

abc: 4.9645 7.9042 7.8580
angles: 107.37 108.41 90.00
Fractional positions:
Tb: 0.6649 0.0028 0.3299
Tb: 0.7802 0.6656 0.5604
Tb: 0.3351 0.9972 0.6701
Tb: 0.0000 0.0000 0.0000
Tb: 0.2198 0.3344 0.4396
Sc: 0.4439 0.6635 0.8878
Sc: 0.5561 0.3365 0.1122
Nd: 0.8919 0.3352 0.7838
Nd: 0.1081 0.6648 0.2162

## Properties
The value obtained for the energy above the most stable polymorph in this dataset is 0.000 eV/atom. The density of states at the Fermi level is 13.27 states/eV/f.u. Its formation energy is 0.0406 eV per atom. As for the space group: C2/m (12). The calculation puts the total magnetization at 0.000 μB per formula unit. The volume is 277.70 Å³ per cell.

***

The following is a GGA-PBE calculation of a geometry-optimized Tb2Nd6Sc structure, from the Alexandria database.

abc: 5.1138 6.2358 10.8446
angles: 106.45 90.00 114.21
Fractional positions:
Nd: 0.0035 0.0070 0.1735
Nd: 0.3333 0.6666 0.9453
Nd: 0.6667 0.3334 0.0547
Nd: 0.9965 0.9930 0.8265
Nd: 0.3313 0.6625 0.6072
Nd: 0.6687 0.3375 0.3928
Tb: 0.3382 0.6764 0.2830
Tb: 0.6618 0.3236 0.7170
Sc: 0.0000 0.0000 0.5000

## Properties
The value obtained for the energy above the most stable polymorph in this dataset is 0.000 eV/atom. The density of states at the Fermi level is 12.80 states/eV/f.u. Its formation energy is 0.0318 eV per atom. As for the space group: C2/m (12). The calculation puts the total magnetization at 0.000 μB per formula unit. The volume is 299.82 Å³ per cell.

***

The following is a GGA-PBE calculation of a geometry-optimized Tb5Nd2Sc structure, from the Alexandria database.

abc: 5.0116 7.1111 14.2364
angles: 90.00 90.00 90.00
Fractional positions:
Nd: 0.5000 0.7461 0.8765
Nd: 0.5000 0.2461 0.6235
Nd: 0.5000 0.2539 0.1235
Nd: 0.5000 0.7539 0.3765
Tb: 0.0000 0.4970 0.7522
Tb: 0.5000 0.7488 0.6236
Tb: 0.0000 0.0030 0.2522
Tb: 0.5000 0.2512 0.3764
Tb: 0.0000 0.9970 0.7478
Tb: 0.5000 0.7512 0.1236
Tb: 0.0000 0.5000 0.5000
Tb: 0.5000 0.2488 0.8764
Tb: 0.0000 0.0000 0.0000
Tb: 0.0000 0.5030 0.2478
Sc: 0.0000 0.0000 0.5000
Sc: 0.0000 0.5000 0.0000

## Properties
The value obtained for the energy above the most stable polymorph in this dataset is 0.000 eV/atom. The density of states at the Fermi level is 11.48 states/eV/f.u. Its formation energy is 0.0313 eV per atom. As for the space group: Pbam (55). The calculation puts the total magnetization at 0.000 μB per formula unit. The volume is 507.36 Å³ per cell.

***

The following is a GGA-PBE calculation of a geometry-optimized Tb7Nd2Sc2 structure, from the Alexandria database.

abc: 3.6037 10.6489 10.6489
angles: 62.35 80.26 80.26
Fractional positions:
Nd: 0.5000 0.4366 0.5634
Nd: 0.0000 0.7470 0.2530
Tb: 0.5000 0.0846 0.9154
Tb: 0.6594 0.4200 0.2613
Tb: 0.3406 0.7387 0.5800
Tb: 0.1344 0.1633 0.5678
Tb: 0.8025 0.0351 0.3600
Tb: 0.1975 0.6400 0.9649
Tb: 0.8656 0.4322 0.8367
Sc: 0.6871 0.8911 0.7347
Sc: 0.3129 0.2653 0.1089

## Properties
The value obtained for the energy above the most stable polymorph in this dataset is 0.000 eV/atom. The density of states at the Fermi level is 17.17 states/eV/f.u. Its formation energy is 0.1693 eV per atom. As for the space group: Imm2 (44). The calculation puts the total magnetization at 0.026 μB per formula unit. The volume is 354.85 Å³ per cell.

***

The following is a GGA-PBE calculation of a geometry-optimized Tb7Nd3Sc structure, from the Alexandria database.

abc: 8.6534 7.0566 7.0566
angles: 120.00 90.00 90.00
Fractional positions:
Tb: 0.4467 0.3350 0.1675
Tb: 0.4467 0.8325 0.6650
Tb: 0.1231 0.1682 0.3364
Tb: 0.4467 0.8325 0.1675
Tb: 0.1231 0.1682 0.8318
Tb: 0.1215 0.6667 0.3333
Tb: 0.1231 0.6636 0.8318
Nd: 0.7805 0.4991 0.5009
Nd: 0.7805 0.4991 0.9982
Nd: 0.7805 0.0018 0.5009
Sc: 0.4427 0.3333 0.6667

## Properties
The density of states at the Fermi level is 16.36 states/eV/f.u. Its formation energy is 0.1770 eV per atom. As for the space group: P3m1 (156). The calculation puts the total magnetization at 0.000 μB per formula unit. The volume is 373.17 Å³ per cell.

***

The following is a GGA-PBE calculation of a geometry-optimized Tb2Nd5Sc2 structure, from the Alexandria database.

abc: 3.4803 11.7747 10.1170
angles: 45.47 80.10 81.50
Fractional positions:
Nd: 0.7818 0.6464 0.7900
Nd: 0.6622 0.0140 0.6616
Nd: 0.0000 0.0000 0.0000
Nd: 0.2182 0.3536 0.2100
Nd: 0.3378 0.9860 0.3384
Tb: 0.0548 0.3390 0.5515
Tb: 0.9452 0.6610 0.4485
Sc: 0.5977 0.6507 0.1540
Sc: 0.4023 0.3493 0.8460

## Properties
The value obtained for the energy above the most stable polymorph in this dataset is 0.000 eV/atom. The density of states at the Fermi level is 14.76 states/eV/f.u. Its formation energy is 0.1173 eV per atom. As for the space group: C2/m (12). The calculation puts the total magnetization at 0.000 μB per formula unit. The volume is 290.94 Å³ per cell.